This record from Alexandria describes an optimized crystal structure of Cs2CeAu2O6. The functional is GGA-PBE.

Cell lengths 6.4793, 6.4793, 7.5123 Å; angles 64.45, 64.45, 60.00 degrees
With the nearest neighbours (Å) after each atom.
Atoms (fractional coordinates):
O 0.2278 0.2278 0.7810  1 Au 2.00
O 0.7722 0.2366 0.2190  1 Au 2.00
Cs 0.2123 0.2123 0.3630  9 O 3.23-3.38
Cs 0.7877 0.7877 0.6370  9 O 3.23-3.38
O 0.7722 0.7722 0.2190  1 Au 2.00
O 0.2366 0.7722 0.2190  1 Au 2.00
Ce 0.0000 0.0000 0.0000  6 O 2.25
O 0.7634 0.2278 0.7810  1 Au 2.00
O 0.2278 0.7634 0.7810  1 Au 2.00
Au 0.5939 0.5939 0.2182  3 O 2.00
Au 0.4061 0.4061 0.7818  3 O 2.00

calculated volume: 21.53 A^3/atom
crystal system: trigonal
E_form (uncorrected): -1.166 eV/atom
E_tot: -5.161 eV per atom
space-group type: No. 166